The following is a DFT calculation (GGA+U) of a relaxed structure of BaWN2F.

- calculated total energy (Ha/atom) = -0.157
- total moment (μB per atom) = 0.60
- space-group type = No. 123

Cell and atoms, written as extended XYZ:
```
5
Lattice="-2.4369 2.6465 3.0334 -3.9942 -2.0315 -1.4365 0.5003 -3.3101 3.2899" Properties=species:S:1:pos:R:3 pbc="T T T"
N -1.9971 -1.0157 -0.7182
N -1.2185 1.3233 1.5167
W -2.9654 -1.3475 2.4434
F 0.2502 -1.6550 1.6450
Ba 0.0000 0.0000 0.0000
```